# 1
A plane-wave DFT calculation with PBE was carried out for Ca2YSnO after structural relaxation.

Lattice parameters (Å, degrees): 4.811 4.811 4.817 90.00 90.00 90.00
Atoms (fractional coordinates):
Ca 0.000 0.500 0.000
Ca 0.500 0.000 0.000
Y 0.000 0.000 0.500
Sn 0.500 0.500 0.500
O 0.000 0.000 0.000

## Properties
Total energy (eV for the cell shown): -27.03
ρ (Mg/m³): 4.52

=====

# 2
A plane-wave DFT calculation with PBE was carried out for CaY2SnO after structural relaxation.

Lattice parameters (Å, degrees): 4.801 4.801 4.793 90.00 90.00 90.00
Atoms (fractional coordinates):
Ca 0.000 0.000 0.000
Y 0.000 0.500 0.500
Y 0.500 0.000 0.500
Sn 0.500 0.500 0.000
O 0.000 0.000 0.500

## Properties
Total energy (eV for the cell shown): -31.25
ρ (Mg/m³): 5.30

=====

# 3
A plane-wave DFT calculation with PBE was carried out for Ca2YSnO5 after structural relaxation.

Lattice parameters (Å, degrees): 5.962 6.148 8.711 109.92 109.44 90.27
Atoms (fractional coordinates):
Ca 0.000 0.000 0.000
Ca 0.194 0.125 0.497
Ca 0.474 0.484 0.021
Ca 0.711 0.773 0.521
Y 0.080 0.545 0.236
Y 0.584 0.066 0.248
Sn 0.376 0.803 0.769
Sn 0.872 0.358 0.748
O 0.036 0.049 0.717
O 0.191 0.476 0.727
O 0.255 0.784 0.140
O 0.315 0.760 0.515
O 0.338 0.295 0.153
O 0.600 0.170 0.520
O 0.740 0.670 0.765
O 0.779 0.752 0.270
O 0.806 0.334 0.953
O 0.934 0.228 0.275

## Properties
Total energy (eV for the cell shown): -125.99
ρ (Mg/m³): 4.35

=====

# 4
A plane-wave DFT calculation with PBE was carried out for Ca2ZnSnO5 after structural relaxation.

Lattice parameters (Å, degrees): 6.994 6.994 10.839 90.00 90.00 153.12
Atoms (fractional coordinates):
Ca 0.115 0.885 0.500
Ca 0.121 0.879 0.032
Ca 0.879 0.121 0.532
Ca 0.885 0.115 0.000
Zn 0.491 0.509 0.251
Zn 0.509 0.491 0.751
Sn 0.235 0.765 0.790
Sn 0.765 0.235 0.290
O 0.082 0.918 0.806
O 0.263 0.737 0.161
O 0.278 0.722 0.425
O 0.381 0.619 0.839
O 0.496 0.504 0.569
O 0.504 0.496 0.069
O 0.619 0.381 0.339
O 0.722 0.278 0.925
O 0.737 0.263 0.661
O 0.918 0.082 0.306

## Properties
Total energy (eV for the cell shown): -107.35
ρ (Mg/m³): 4.77

=====

# 5
A plane-wave DFT calculation with PBE was carried out for CaZn4Sn4O8 after structural relaxation.

Lattice parameters (Å, degrees): 3.374 9.390 10.750 111.51 99.02 90.06
Atoms (fractional coordinates):
Ca 0.000 0.000 0.000
Zn 0.072 0.441 0.142
Zn 0.284 0.300 0.568
Zn 0.712 0.653 0.422
Zn 0.912 0.493 0.821
Sn 0.362 0.757 0.722
Sn 0.409 0.160 0.819
Sn 0.562 0.736 0.120
Sn 0.637 0.205 0.274
O 0.011 0.591 0.019
O 0.148 0.352 0.295
O 0.259 0.714 0.514
O 0.385 0.364 0.768
O 0.612 0.577 0.222
O 0.739 0.241 0.478
O 0.849 0.603 0.695
O 0.989 0.239 0.978

## Properties
Total energy (eV for the cell shown): -82.97
ρ (Mg/m³): 4.81

=====

# 6
A plane-wave DFT calculation with PBE was carried out for Ca2ZrSnO6 after structural relaxation.

Lattice parameters (Å, degrees): 5.812 5.812 5.812 58.55 58.55 58.55
Atoms (fractional coordinates):
Ca 0.000 0.000 0.000
Ca 0.499 0.499 0.499
Zr 0.225 0.225 0.225
Sn 0.724 0.724 0.724
O 0.066 0.450 0.871
O 0.375 0.948 0.568
O 0.450 0.871 0.066
O 0.568 0.375 0.948
O 0.871 0.066 0.450
O 0.948 0.568 0.375

## Properties
Total energy (eV for the cell shown): -73.72
ρ (Mg/m³): 4.78